B2TeRh2 | Alexandria via LeMat-Bulk | PBE | optimized geometry; M_tot = 0.0 μB/f.u.; crystal system = tetragonal; formation energy from raw total energies = -0.095 eV/atom; density of states at the Fermi level = 0.45 states/eV per atom
1.0
3.038 0.000 0.000
0.000 3.038 0.000
1.519 1.519 7.405
B Te Rh
2 1 2
Direct
0.750 0.250 0.500
0.250 0.750 0.500
0.000 0.000 0.000
0.351 0.351 0.298
0.649 0.649 0.702